Entry from Alexandria via LeMat-Bulk: an optimized crystal structure of Cd2SiOs (PBE).

Unit cell a=4.9553 b=4.9553 c=4.9553 alpha=131.03 beta=131.03 gamma=71.76
Positions (direct):
Cd  0.0000  0.0000  0.0000
Cd  0.7500  0.2500  0.5000
Si  0.5000  0.5000  0.0000
Os  0.2500  0.7500  0.5000

Calculated values
- formation energy without anion corrections (eV per atom) = 0.518
- space group = I-4m2, No. 119
- volume (Å³ per atom) = 16.933



Entry from Alexandria via LeMat-Bulk: an optimized crystal structure of Pm3Ga2Pt (PBE).

Unit cell a=3.6330 b=3.6330 c=10.9875 alpha=90.00 beta=90.00 gamma=90.00
Positions (direct):
Pm  0.0000  0.0000  0.0000
Pm  0.0000  0.0000  0.3421
Pm  0.0000  0.0000  0.6579
Ga  0.5000  0.5000  0.1688
Ga  0.5000  0.5000  0.8312
Pt  0.5000  0.5000  0.5000

Calculated values
- ΔE to the lowest computed polymorph (meV/atom) = 22.2
- space group = P4/mmm, No. 123
- volume (Å³ per atom) = 24.170



Entry from Alexandria via LeMat-Bulk: an optimized crystal structure of Tb2PmPrEr4 (PBE).

Unit cell a=9.4981 b=9.4981 c=9.4981 alpha=138.04 beta=103.28 gamma=91.53
Positions (direct):
Tb  0.0000  0.0000  0.0000
Tb  0.5000  0.0000  0.0000
Tb  0.5000  0.0000  0.5000
Tb  0.5000  0.5000  0.5000
Pm  0.0000  0.5000  0.5000
Pm  0.5000  0.5000  0.0000
Pr  0.0000  0.0000  0.5000
Pr  0.0000  0.5000  0.0000
Er  0.2523  0.2489  0.0034
Er  0.2530  0.2522  0.4992
Er  0.2530  0.7538  0.0008
Er  0.2545  0.7511  0.5034
Er  0.7455  0.2489  0.4966
Er  0.7470  0.2462  0.9992
Er  0.7470  0.7478  0.5008
Er  0.7477  0.7511  0.9966

Calculated values
- DFT total energy (eV/cell) = -67.2
- space group = Imma, No. 74
- volume (Å³ per atom) = 33.205



Entry from Alexandria via LeMat-Bulk: an optimized crystal structure of ZrHgBi (PBE).

Unit cell a=5.9759 b=5.9759 c=8.4016 alpha=98.31 beta=98.31 gamma=32.13
Positions (direct):
Zr  0.1480  0.1480  0.3946
Zr  0.8520  0.8520  0.6054
Hg  0.3550  0.3550  0.9166
Hg  0.6450  0.6450  0.0834
Bi  0.4054  0.4054  0.3001
Bi  0.5946  0.5946  0.6999

Calculated values
- ΔE to the lowest computed polymorph (meV/atom) = 86.9
- space group = C2/m, No. 12
- volume (Å³ per atom) = 26.291



Entry from Alexandria via LeMat-Bulk: an optimized crystal structure of LiCaP (PBE).

Unit cell a=7.0677 b=4.1946 c=7.7567 alpha=90.00 beta=90.00 gamma=90.00
Positions (direct):
Li  0.1460  0.2500  0.0668
Li  0.3540  0.7500  0.5668
Li  0.6460  0.2500  0.4332
Li  0.8540  0.7500  0.9332
Ca  0.0164  0.2500  0.6950
Ca  0.4836  0.7500  0.1950
Ca  0.5164  0.2500  0.8050
Ca  0.9836  0.7500  0.3050
P  0.2314  0.7500  0.8952
P  0.2686  0.2500  0.3952
P  0.7314  0.7500  0.6048
P  0.7686  0.2500  0.1048

Calculated values
- DFT total energy (eV/cell) = -49.7
- space group = Pnma, No. 62
- volume (Å³ per atom) = 19.163



Entry from Alexandria via LeMat-Bulk: an optimized crystal structure of NaPuTh2Se4 (PBE).

Unit cell a=7.2180 b=4.1444 c=7.3429 alpha=90.00 beta=108.92 gamma=90.00
Positions (direct):
Na  0.0000  0.0000  0.0000
Pu  0.5000  0.5000  0.0000
Th  0.0000  0.5000  0.5000
Th  0.5000  0.0000  0.5000
Se  0.2467  0.5000  0.2452
Se  0.2504  0.0000  0.7588
Se  0.7496  0.0000  0.2412
Se  0.7533  0.5000  0.7548

Calculated values
- formation energy without anion corrections (eV per atom) = -1.503
- space group = P2/m, No. 10
- volume (Å³ per atom) = 25.974



Entry from Alexandria via LeMat-Bulk: an optimized crystal structure of Tl2BF6 (PBE).

Unit cell a=5.3813 b=5.3813 c=4.9520 alpha=90.42 beta=90.42 gamma=59.97
Positions (direct):
Tl  0.1676  0.1676  0.2515
Tl  0.8324  0.8324  0.7485
B  0.5000  0.5000  0.0000
F  0.2119  0.6452  0.1895
F  0.3544  0.3544  0.8094
F  0.3548  0.7881  0.8105
F  0.6452  0.2119  0.1895
F  0.6456  0.6456  0.1906
F  0.7881  0.3548  0.8105

Calculated values
- formation energy without anion corrections (eV per atom) = -1.881
- space group = C2/m, No. 12
- volume (Å³ per atom) = 13.795



Entry from Alexandria via LeMat-Bulk: an optimized crystal structure of Mg2ZnBiBr (PBE).

Unit cell a=5.1012 b=5.1012 c=5.5461 alpha=90.00 beta=90.00 gamma=90.00
Positions (direct):
Mg  0.0000  0.5000  0.0000
Mg  0.5000  0.0000  0.0000
Zn  0.0000  0.0000  0.0000
Bi  0.5000  0.5000  0.5000
Br  0.0000  0.0000  0.5000

Calculated values
- formation energy without anion corrections (eV per atom) = 0.254
- space group = P4/mmm, No. 123
- volume (Å³ per atom) = 28.865



Entry from Alexandria via LeMat-Bulk: an optimized crystal structure of ReH2F (PBE).

Unit cell a=3.4750 b=3.4750 c=3.4750 alpha=60.00 beta=60.00 gamma=60.00
Positions (direct):
Re  0.0000  0.0000  0.0000
H  0.2500  0.2500  0.2500
H  0.7500  0.7500  0.7500
F  0.5000  0.5000  0.5000

Calculated values
- ΔE to the lowest computed polymorph (meV/atom) = 661.4
- space group = Fm-3m, No. 225
- volume (Å³ per atom) = 7.418



Entry from Alexandria via LeMat-Bulk: an optimized crystal structure of LaNdSm14 (PBE).

Unit cell a=11.7882 b=7.3103 c=7.3103 alpha=60.09 beta=90.00 gamma=90.00
Positions (direct):
La  0.0000  0.0000  0.0000
Nd  0.0000  0.4998  0.4998
Sm  0.0000  0.0009  0.5000
Sm  0.0000  0.5000  0.0009
Sm  0.2499  0.6672  0.6672
Sm  0.2518  0.1675  0.1675
Sm  0.2525  0.1671  0.6669
Sm  0.2525  0.6669  0.1671
Sm  0.5000  0.3341  0.3341
Sm  0.5000  0.3351  0.8338
Sm  0.5000  0.8334  0.8334
Sm  0.5000  0.8338  0.3351
Sm  0.7475  0.1671  0.6669
Sm  0.7475  0.6669  0.1671
Sm  0.7482  0.1675  0.1675
Sm  0.7501  0.6672  0.6672

Calculated values
- DFT total energy (eV/cell) = -75.7
- space group = Amm2, No. 38
- volume (Å³ per atom) = 34.130



Entry from Alexandria via LeMat-Bulk: an optimized crystal structure of ReAsW2 (PBE).

Unit cell a=5.0715 b=5.0715 c=2.8218 alpha=99.72 beta=99.72 gamma=113.42
Positions (direct):
Re  0.0000  0.0000  0.0000
As  0.5000  0.5000  0.0000
W  0.0000  0.5000  0.5000
W  0.5000  0.0000  0.5000

Calculated values
- DFT total energy (eV/cell) = -41.1
- space group = C2/m, No. 12
- volume (Å³ per atom) = 15.843



Entry from Alexandria via LeMat-Bulk: an optimized crystal structure of HfBiPtBr2 (PBE).

Unit cell a=5.1183 b=5.1183 c=5.3316 alpha=90.00 beta=90.00 gamma=90.00
Positions (direct):
Hf  0.0000  0.0000  0.0000
Bi  0.5000  0.5000  0.5000
Pt  0.0000  0.0000  0.5000
Br  0.0000  0.5000  0.0000
Br  0.5000  0.0000  0.0000

Calculated values
- formation energy without anion corrections (eV per atom) = -0.019
- space group = P4/mmm, No. 123
- volume (Å³ per atom) = 27.934



Entry from Alexandria via LeMat-Bulk: an optimized crystal structure of ReIr2N (PBE).

Unit cell a=6.3720 b=6.3720 c=6.3720 alpha=134.23 beta=134.23 gamma=66.72
Positions (direct):
Re  0.0000  0.0000  0.0000
Re  0.7500  0.2500  0.5000
Ir  0.2009  0.6250  0.0759
Ir  0.3750  0.4509  0.5759
Ir  0.5491  0.1250  0.9241
Ir  0.8750  0.7991  0.4241
N  0.2500  0.7500  0.5000
N  0.5000  0.5000  0.0000

Calculated values
- formation energy without anion corrections (eV per atom) = 0.801
- space group = I-42d, No. 122
- volume (Å³ per atom) = 16.337



Entry from Alexandria via LeMat-Bulk: an optimized crystal structure of Ho3ZrSc (PBE).

Unit cell a=8.9397 b=8.9397 c=6.8202 alpha=100.62 beta=100.62 gamma=31.17
Positions (direct):
Ho  0.0023  0.0023  0.2393
Ho  0.2008  0.2008  0.8545
Ho  0.3962  0.3962  0.4528
Ho  0.6038  0.6038  0.5472
Ho  0.7992  0.7992  0.1455
Ho  0.9977  0.9977  0.7607
Zr  0.4026  0.4026  0.9517
Zr  0.5974  0.5974  0.0483
Sc  0.1967  0.1967  0.3392
Sc  0.8033  0.8033  0.6608

Calculated values
- ΔE to the lowest computed polymorph (meV/atom) = 0.0
- space group = C2/m, No. 12
- volume (Å³ per atom) = 27.693



Entry from Alexandria via LeMat-Bulk: an optimized crystal structure of Sc2AsSe (PBE).

Unit cell a=4.9308 b=4.9308 c=4.9308 alpha=129.80 beta=112.74 gamma=88.47
Positions (direct):
Sc  0.2493  0.2493  0.0000
Sc  0.7507  0.7507  0.0000
As  0.0000  0.5000  0.5000
Se  0.5000  0.0000  0.5000

Calculated values
- ΔE to the lowest computed polymorph (meV/atom) = 431.3
- formation energy without anion corrections (eV per atom) = -1.122
- space group = Immm, No. 71
- volume (Å³ per atom) = 20.179



Entry from Alexandria via LeMat-Bulk: an optimized crystal structure of AgSnPO5 (PBE).

Unit cell a=5.6865 b=5.6865 c=7.3645 alpha=106.11 beta=106.11 gamma=102.74
Positions (direct):
Ag  0.1644  0.8356  0.7500
Ag  0.8356  0.1644  0.2500
Sn  0.5000  0.5000  0.0000
Sn  0.5000  0.5000  0.5000
P  0.1808  0.8192  0.2500
P  0.8192  0.1808  0.7500
O  0.1022  0.2530  0.8976
O  0.1943  0.6317  0.3697
O  0.2530  0.1022  0.3976
O  0.3683  0.8057  0.1303
O  0.4164  0.5836  0.7500
O  0.5836  0.4164  0.2500
O  0.6317  0.1943  0.8697
O  0.7470  0.8978  0.6024
O  0.8057  0.3683  0.6303
O  0.8978  0.7470  0.1024

Calculated values
- formation energy without anion corrections (eV per atom) = -1.589
- space group = C2/c, No. 15
- volume (Å³ per atom) = 13.004